No. 1
The following is a PBE-GGA calculation of an optimized crystal structure of Ce4Hg2Bi, from Alexandria via LeMat-Bulk.

a b c (Å): 5.362 5.362 9.280
angles (deg): 73.21 73.21 60.00
Last column: magnetic moment on the atom in μB.
Fractional positions:
Hg1 0.753 0.753 0.742  0.05
Hg2 0.247 0.247 0.258  0.05
Ce1 0.871 0.871 0.388  1.12
Ce2 0.129 0.129 0.612  1.12
Ce3 0.618 0.618 0.145  1.05
Ce4 0.382 0.382 0.855  1.05
Bi1 0.000 0.000 0.000  0.01

Output
Its density of states at the Fermi level is 28.96 states/eV/cell. Its space group is R-3m. The value obtained for the formation energy is -1.3 eV per formula unit. The volume is 217.8 Å³/cell.

---

No. 2
The following is a PBE-GGA calculation of an optimized crystal structure of Hf4RuN2, from Alexandria via LeMat-Bulk.

a b c (Å): 3.256 5.785 11.710
angles (deg): 90.00 90.00 106.35
Fractional positions:
Hf1 0.769 0.538 0.108
Hf2 0.769 0.538 0.392
Hf3 0.231 0.462 0.892
Hf4 0.231 0.462 0.608
Hf5 0.925 0.849 0.750
Hf6 0.075 0.151 0.250
Hf7 0.500 0.000 0.000
Hf8 0.500 0.000 0.500
Ru1 0.608 0.216 0.750
Ru2 0.392 0.784 0.250
N1 0.134 0.267 0.442
N2 0.866 0.733 0.942
N3 0.134 0.267 0.058
N4 0.866 0.733 0.558

Output
For the formation energy from raw total energies, the calculation gives -1.2292 eV/atom. Its density of states at the Fermi level is 4.50 states/eV/cell. Its space group is Cmcm. The volume is 211.7 Å³/cell.

---

No. 3
The following is a PBE-GGA calculation of an optimized crystal structure of CdTcAg2, from Alexandria via LeMat-Bulk.

a b c (Å): 4.861 4.861 4.861
angles (deg): 126.45 126.45 79.16
Last column: magnetic moment on the atom in μB.
Fractional positions:
Ag1 0.000 0.000 0.000  0.06
Ag2 0.750 0.250 0.500  0.00
Cd1 0.500 0.500 0.000  -0.01
Tc1 0.250 0.750 0.500  2.20

Output
Its density of states at the Fermi level is 1.66 states/eV/cell. Its space group is I-4m2. The value obtained for the formation energy is 2.0 eV per formula unit. The volume is 71.9 Å³/cell.

---

No. 4
The following is a PBE-GGA calculation of an optimized crystal structure of HfTi2Tl, from Alexandria via LeMat-Bulk.

a b c (Å): 7.659 7.659 6.135
angles (deg): 51.38 51.38 90.00
Fractional positions:
Tl1 0.000 0.000 0.000
Tl2 0.750 0.250 0.500
Hf1 0.500 0.500 0.000
Hf2 0.250 0.750 0.500
Ti1 0.630 0.125 0.250
Ti2 0.120 0.625 0.250
Ti3 0.375 0.370 0.750
Ti4 0.875 0.880 0.750

Output
Its density of states at the Fermi level is 8.13 states/eV/cell. The calculation puts the energy above the most stable polymorph in this dataset at 498.2 meV/atom. Its space group is I-42d. The value obtained for the formation energy is 2.1 eV per formula unit. The volume is 169.1 Å³/cell.

---

No. 5
The following is a PBE-GGA calculation of an optimized crystal structure of Ag3TePd6, from Alexandria via LeMat-Bulk.

a b c (Å): 6.792 7.098 7.487
angles (deg): 90.00 88.45 90.00
Fractional positions:
Ag1 0.585 0.824 0.757
Ag2 0.500 0.500 0.000
Ag3 0.415 0.176 0.243
Ag4 0.085 0.676 0.257
Ag5 0.000 0.000 0.500
Ag6 0.915 0.324 0.743
Te1 0.500 0.500 0.500
Te2 0.000 0.000 0.000
Pd1 0.647 0.138 0.947
Pd2 0.624 0.152 0.550
Pd3 0.777 0.388 0.255
Pd4 0.223 0.612 0.745
Pd5 0.376 0.848 0.450
Pd6 0.353 0.862 0.053
Pd7 0.147 0.362 0.447
Pd8 0.124 0.348 0.050
Pd9 0.277 0.112 0.755
Pd10 0.723 0.888 0.245
Pd11 0.876 0.652 0.950
Pd12 0.853 0.638 0.553

Output
For the formation energy from raw total energies, the calculation gives 0.0428 eV/atom. Its density of states at the Fermi level is 11.23 states/eV/cell. The calculation puts the energy above the most stable polymorph in this dataset at 172.4 meV/atom. Its space group is P2_1/c. The volume is 360.8 Å³/cell.

---

No. 6
The following is a PBE-GGA calculation of an optimized crystal structure of DyTiRe4, from Alexandria via LeMat-Bulk.

a b c (Å): 5.305 5.305 5.305
angles (deg): 60.00 60.00 60.00
Fractional positions:
Re1 0.625 0.625 0.124
Re2 0.625 0.124 0.625
Re3 0.625 0.625 0.625
Re4 0.124 0.625 0.625
Ti1 0.000 0.000 0.000
Dy1 0.250 0.250 0.250

Output
Its density of states at the Fermi level is 9.02 states/eV/cell. Its space group is F-43m. The value obtained for the formation energy is -0.7 eV per formula unit. The volume is 105.6 Å³/cell.

---

Question: Which formula does entry 3 have?
Answer: CdTcAg2

---

Question: volume of number 6 (DyTiRe4)?
Answer: 105.6 Å³/cell